Entry 1:
Compound: KTl2IrBr6
Source: Alexandria via LeMat-Bulk
Functional: PBE
Structure: relaxed

## Properties
DFT total energy: -64.504 eV per cell

Cell: 7.4232 8.9359 11.1718 Å, 90.00 90.00 90.00°
With the nearest neighbours (Å) after each atom.
Fractional positions:
K 0.5000 0.3209 0.0000  6 Br 3.23-3.41
Br 0.7424 0.3875 0.5000  1 Ir 2.51
Br 0.2424 0.6125 0.0000  1 Ir 2.51
Br 0.0000 0.8100 0.2249  1 Ir 2.51
Ir 0.5000 0.1924 0.5000  6 Br 2.51-2.52
K 0.0000 0.6791 0.5000  6 Br 3.23-3.41
Br 0.5000 0.1900 0.7249  1 Ir 2.51
Tl 0.5000 0.8271 0.8038  7 Br 3.34-3.73
Tl 0.5000 0.8271 0.1962  7 Br 3.34-3.73
Br 0.0000 0.8100 0.7751  1 Ir 2.51
Br 0.7576 0.6125 0.0000  1 Ir 2.51
Br 0.2576 0.3875 0.5000  1 Ir 2.51
Br 0.2605 0.9927 0.5000  1 Ir 2.52
Tl 0.0000 0.1729 0.6962  7 Br 3.34-3.73
Tl 0.0000 0.1729 0.3038  7 Br 3.34-3.73
Br 0.2395 0.0073 0.0000  1 Ir 2.52
Br 0.5000 0.1900 0.2751  1 Ir 2.51
Ir 0.0000 0.8076 0.0000  6 Br 2.51-2.52
Br 0.7605 0.0073 0.0000  1 Ir 2.52
Br 0.7395 0.9927 0.5000  1 Ir 2.52


Entry 2:
Compound: La8TlRh2
Source: Alexandria via LeMat-Bulk
Functional: PBE
Structure: relaxed

## Properties
ΔE_f: -32.1 kJ per mole of atoms

Cell: 5.7469 8.4201 8.4201 Å, 116.56 97.87 97.87°
With the nearest neighbours (Å) after each atom.
Fractional positions:
Tl 0.9994 0.0032 0.0032  8 La 3.44-3.70
La 0.5563 0.0908 0.3367  2 Rh 2.92-2.98
La 0.1960 0.4046 0.4046  4 La 3.19-3.48, 1 Tl 3.44, 2 Rh 3.56
La 0.0000 0.2492 0.7571  2 Rh 2.92
La 0.8043 0.6017 0.6017  4 La 3.19-3.48, 1 Tl 3.44, 2 Rh 3.56
La 0.5563 0.3367 0.0908  2 Rh 2.92-2.98
La 0.4438 0.6694 0.9153  2 Rh 2.92-2.98
La 0.0000 0.7571 0.2492  2 Rh 2.92
Rh 0.5000 0.2861 0.7198  6 La 2.92-2.98
La 0.4438 0.9153 0.6694  2 Rh 2.92-2.98
Rh 0.5000 0.7198 0.2861  6 La 2.92-2.98


Entry 3:
Compound: Ir2WSe
Source: Alexandria via LeMat-Bulk
Functional: PBE
Structure: relaxed

## Properties
ΔE to the lowest computed polymorph: 75 meV/atom

Cell: 8.9341 8.9341 8.9341 Å, 18.49 18.49 18.49°
With the nearest neighbours (Å) after each atom.
Fractional positions:
W 0.7500 0.7500 0.7500  6 Ir 2.73, 6 W 2.87
Ir 0.0012 0.0012 0.0012  3 W 2.73, 3 Se 2.78, 6 Ir 2.87
Ir 0.4988 0.4988 0.4988  3 W 2.73, 3 Se 2.78, 6 Ir 2.87
Se 0.2500 0.2500 0.2500  6 Ir 2.78, 6 Se 2.87


Entry 4:
Compound: NdSbCl
Source: Alexandria via LeMat-Bulk
Functional: PBE
Structure: relaxed

## Properties
DFT total energy: -14.124 eV per cell

Cell: 3.7629 5.0065 5.0065 Å, 120.00 90.00 90.00°
With the nearest neighbours (Å) after each atom.
Fractional positions:
Sb 0.6665 0.6667 0.3333  6 Cl 3.45, 6 Nd 3.45, 2 Sb 3.76
Nd 0.1665 0.0000 0.0000  3 Cl 2.89
Cl 0.1670 0.3333 0.6667  3 Nd 2.89


Entry 5:
Compound: AcSm6Th
Source: Alexandria via LeMat-Bulk
Functional: PBE
Structure: relaxed

## Properties
ΔE_f: 3.6 kJ per mole of atoms

Cell: 5.1762 5.1762 10.3707 Å, 90.00 90.00 90.00°
With the nearest neighbours (Å) after each atom.
Fractional positions:
Th 0.0000 0.0000 0.5000  12 Sm 3.59-3.66
Sm 0.5000 0.5000 0.0000  4 Ac 3.66, 8 Sm 3.74
Sm 0.5000 0.0000 0.2601  2 Th 3.59, 8 Sm 3.59-3.74, 2 Ac 3.74
Sm 0.0000 0.5000 0.7399  8 Sm 3.59-3.74, 2 Th 3.59, 2 Ac 3.74
Sm 0.0000 0.5000 0.2601  2 Th 3.59, 8 Sm 3.59-3.74, 2 Ac 3.74
Sm 0.5000 0.5000 0.5000  8 Sm 3.59, 4 Th 3.66
Sm 0.5000 0.0000 0.7399  8 Sm 3.59-3.74, 2 Th 3.59, 2 Ac 3.74
Ac 0.0000 0.0000 0.0000  12 Sm 3.66-3.74


Entry 6:
Compound: BaThN2
Source: Alexandria via LeMat-Bulk
Functional: PBE
Structure: relaxed

## Properties
DFT total energy: -30.410 eV per cell

Cell: 3.7516 3.7516 6.9223 Å, 74.28 74.28 60.00°
With the nearest neighbours (Å) after each atom.
Fractional positions:
N 0.0674 0.0674 0.7977  3 Th 2.56, 3 Ba 2.86
Th 0.6652 0.6652 0.0045  6 N 2.46-2.56
N 0.2723 0.2723 0.1830  3 Th 2.46
Ba 0.4951 0.4951 0.5147  6 N 2.86-3.07


Entry 7:
Compound: Nd2Zn2CuNi5
Source: Alexandria via LeMat-Bulk
Functional: PBE
Structure: relaxed

## Properties
ΔE_f: -10.1 kJ per mole of atoms

Cell: 3.5892 9.3653 9.3653 Å, 90.00 90.00 90.00°
With the nearest neighbours (Å) after each atom.
Fractional positions:
Nd 0.0000 0.6812 0.1812  3 Zn 2.68-2.85, 2 Ni 3.00
Ni 0.5000 0.0545 0.8026  2 Zn 2.57, 2 Cu 2.63, 2 Ni 2.71
Ni 0.5000 0.5000 0.0000  4 Zn 2.37
Ni 0.5000 0.8026 0.9455  2 Zn 2.57, 2 Cu 2.63, 2 Ni 2.71
Cu 0.0000 0.0000 0.0000  8 Ni 2.63
Ni 0.5000 0.6974 0.4455  2 Zn 2.57, 2 Cu 2.63, 2 Ni 2.71
Cu 0.0000 0.5000 0.5000  8 Ni 2.63
Nd 0.0000 0.8188 0.6812  3 Zn 2.68-2.85, 2 Ni 3.00
Zn 0.0000 0.3833 0.1167  6 Ni 2.37-2.57
Ni 0.5000 0.4455 0.3026  2 Zn 2.57, 2 Cu 2.63, 2 Ni 2.71
Zn 0.0000 0.1167 0.6167  6 Ni 2.37-2.57
Nd 0.0000 0.3188 0.8188  3 Zn 2.68-2.85, 2 Ni 3.00
Ni 0.5000 0.1974 0.0545  2 Zn 2.57, 2 Cu 2.63, 2 Ni 2.71
Ni 0.5000 0.3026 0.5545  2 Zn 2.57, 2 Cu 2.63, 2 Ni 2.71
Nd 0.0000 0.1812 0.3188  3 Zn 2.68-2.85, 2 Ni 3.00
Ni 0.5000 0.9455 0.1974  2 Zn 2.57, 2 Cu 2.63, 2 Ni 2.71
Ni 0.5000 0.5545 0.6974  2 Zn 2.57, 2 Cu 2.63, 2 Ni 2.71
Zn 0.0000 0.8833 0.3833  6 Ni 2.37-2.57
Ni 0.5000 0.0000 0.5000  4 Zn 2.37
Zn 0.0000 0.6167 0.8833  6 Ni 2.37-2.57


Entry 8:
Compound: TbHo2Tm4
Source: Alexandria via LeMat-Bulk
Functional: PBE
Structure: relaxed

## Properties
ΔE_f: 0.2 kJ per mole of atoms
ΔE to the lowest computed polymorph: 0 meV/atom

Cell: 3.5587 3.5585 19.6514 Å, 95.18 90.00 120.00°
With the nearest neighbours (Å) after each atom.
Fractional positions:
Ho 0.7142 0.4283 0.3806  6 Tm 3.47-3.48, 6 Ho 3.56
Tm 0.0003 0.0007 0.2373  6 Ho 3.46-3.48, 6 Tm 3.56
Tm 0.5244 0.0488 0.8115  9 Tm 3.43-3.56, 3 Tb 3.48
Tb 0.8093 0.6186 0.6678  6 Tm 3.48, 6 Tb 3.56
Tm 0.4281 0.8561 0.5238  3 Ho 3.47, 3 Tb 3.48, 6 Tm 3.56
Tm 0.9054 0.8108 0.9523  9 Tm 3.43-3.56, 3 Ho 3.46
Ho 0.6197 0.2395 0.0947  6 Tm 3.46, 6 Ho 3.56


Entry 9:
Compound: Cu3Hg2Pd8
Source: Alexandria via LeMat-Bulk
Functional: PBE
Structure: relaxed

## Properties
ΔE_f: 5.5 kJ per mole of atoms

Cell: 4.6756 6.8254 7.5540 Å, 116.86 90.41 90.00°
With the nearest neighbours (Å) after each atom.
Fractional positions:
Pd 0.3127 0.9605 0.3363  5 Pd 2.62-2.86, 2 Cu 2.70-2.82, 1 Hg 2.74
Pd 0.3127 0.3758 0.3363  5 Pd 2.62-2.86, 2 Cu 2.70-2.82, 1 Hg 2.74
Pd 0.8091 0.1700 0.3400  3 Cu 2.70-2.74, 6 Pd 2.72-3.01, 1 Hg 2.97
Cu 0.0000 0.8249 0.0000  3 Cu 2.39-2.63, 2 Pd 2.59
Pd 0.1909 0.8300 0.6600  3 Cu 2.70-2.74, 6 Pd 2.72-3.01, 1 Hg 2.97
Cu 0.0000 0.1751 0.0000  3 Cu 2.39-2.63, 2 Pd 2.59
Hg 0.7813 0.6609 0.3218  8 Pd 2.74-2.97
Pd 0.6873 0.0395 0.6637  5 Pd 2.62-2.86, 2 Cu 2.70-2.82, 1 Hg 2.74
Pd 0.7415 0.4567 0.9134  4 Pd 2.55-2.68, 2 Cu 2.59, 2 Hg 2.75-2.76
Cu 0.5000 0.0000 0.0000  4 Cu 2.63, 6 Pd 2.70-2.82
Hg 0.2187 0.3391 0.6782  8 Pd 2.74-2.97
Pd 0.2585 0.5433 0.0866  4 Pd 2.55-2.68, 2 Cu 2.59, 2 Hg 2.75-2.76
Pd 0.6873 0.6242 0.6637  5 Pd 2.62-2.86, 2 Cu 2.70-2.82, 1 Hg 2.74


Entry 10:
Compound: ScIr2RuC
Source: Alexandria via LeMat-Bulk
Functional: PBE
Structure: relaxed

## Properties
ΔE_f: -30.3 kJ per mole of atoms

Cell: 4.1077 4.1077 4.1242 Å, 90.00 90.00 90.00°
With the nearest neighbours (Å) after each atom.
Fractional positions:
C 0.0000 0.0000 0.0000  4 Ir 2.05, 2 Ru 2.06
Ir 0.5000 0.0000 0.0000  2 C 2.05
Ir 0.0000 0.5000 0.0000  2 C 2.05
Sc 0.5000 0.5000 0.5000  4 Ru 2.90, 8 Ir 2.91
Ru 0.0000 0.0000 0.5000  2 C 2.06


Entry 11:
Compound: HfMgGa2
Source: Alexandria via LeMat-Bulk
Functional: PBE
Structure: relaxed

## Properties
ΔE_f: 3.6 kJ per mole of atoms

Cell: 7.2867 7.2867 5.9591 Å, 52.31 52.31 90.00°
With the nearest neighbours (Å) after each atom.
Fractional positions:
Hf 0.0000 0.0000 0.0000  4 Ga 2.75, 2 Mg 2.99
Hf 0.7500 0.2500 0.5000  4 Ga 2.75, 2 Mg 2.99
Mg 0.2500 0.7500 0.5000  4 Ga 2.62
Ga 0.6115 0.1250 0.2500  2 Mg 2.62, 2 Hf 2.75
Ga 0.1385 0.6250 0.2500  2 Mg 2.62, 2 Hf 2.75
Ga 0.8750 0.8615 0.7500  2 Mg 2.62, 2 Hf 2.75
Ga 0.3750 0.3885 0.7500  2 Mg 2.62, 2 Hf 2.75
Mg 0.5000 0.5000 0.0000  4 Ga 2.62


Entry 12:
Compound: MnV2Ag2Te6
Source: Alexandria via LeMat-Bulk
Functional: PBE
Structure: relaxed

## Properties
DFT total energy: -53.676 eV per cell

Cell: 6.7387 6.7387 7.5166 Å, 97.41 97.41 119.32°
With the nearest neighbours (Å) after each atom.
Fractional positions:
V 0.3545 0.6455 0.5000  6 Te 2.69-2.81
Te 0.6073 0.9547 0.2913  1 Mn 2.75, 2 V 2.79-2.81, 2 Ag 2.95-3.02
Te 0.0453 0.3927 0.7087  1 Mn 2.75, 2 V 2.79-2.81, 2 Ag 2.95-3.02
Te 0.7457 0.7457 0.7338  2 V 2.69, 1 Mn 2.76
Ag 0.1827 0.8173 0.0000  6 Te 2.95-3.12
V 0.6455 0.3545 0.5000  6 Te 2.69-2.81
Te 0.3927 0.0453 0.7087  1 Mn 2.75, 2 V 2.79-2.81, 2 Ag 2.95-3.02
Te 0.2543 0.2543 0.2662  2 V 2.69, 1 Mn 2.76
Mn 0.0000 0.0000 0.5000  6 Te 2.75-2.76
Ag 0.8173 0.1827 0.0000  6 Te 2.95-3.12
Te 0.9547 0.6073 0.2913  1 Mn 2.75, 2 V 2.79-2.81, 2 Ag 2.95-3.02


Entry 13:
Compound: Sr2TbPmSe4
Source: Alexandria via LeMat-Bulk
Functional: PBE
Structure: relaxed

## Properties
DFT total energy: -41.909 eV per cell

Cell: 4.2436 7.3455 7.5198 Å, 109.02 90.00 90.00°
With the nearest neighbours (Å) after each atom.
Fractional positions:
Sr 0.0000 0.5000 0.5000  6 Se 3.11
Se 0.0000 0.7503 0.2369  1 Tb 2.94, 2 Pm 2.99, 3 Sr 3.07-3.11
Se 0.5000 0.7595 0.7661  2 Tb 2.95, 1 Pm 2.99, 3 Sr 3.07-3.11
Se 0.0000 0.2497 0.7631  1 Tb 2.94, 2 Pm 2.99, 3 Sr 3.07-3.11
Pm 0.5000 0.5000 0.0000  6 Se 2.99
Se 0.5000 0.2405 0.2339  2 Tb 2.95, 1 Pm 2.99, 3 Sr 3.07-3.11
Tb 0.0000 0.0000 0.0000  6 Se 2.94-2.95
Sr 0.5000 0.0000 0.5000  6 Se 3.07


Entry 14:
Compound: Cr2GaTcMo
Source: Alexandria via LeMat-Bulk
Functional: PBE
Structure: relaxed

## Properties
ΔE_f: 129.4 kJ per mole of atoms

Cell: 4.5729 4.7425 4.5729 Å, 90.00 90.00 90.00°
With the nearest neighbours (Å) after each atom.
Fractional positions:
Ga 0.5000 0.5000 0.5000  4 Mo 3.23, 8 Cr 3.29
Cr 0.0000 0.0000 0.5000  2 Tc 2.29
Mo 0.0000 0.5000 0.0000  2 Tc 2.37
Tc 0.0000 0.0000 0.0000  4 Cr 2.29, 2 Mo 2.37
Cr 0.5000 0.0000 0.0000  2 Tc 2.29


Entry 15:
Compound: OsRu2W
Source: Alexandria via LeMat-Bulk
Functional: PBE
Structure: relaxed

## Properties
ΔE_f: 36.0 kJ per mole of atoms
ΔE to the lowest computed polymorph: 387 meV/atom

Cell: 3.2630 3.2630 5.6069 Å, 90.00 90.00 90.00°
With the nearest neighbours (Å) after each atom.
Fractional positions:
Os 0.5000 0.5000 0.7548  6 Ru 2.69-2.86, 4 W 2.72
Ru 0.0000 0.0000 0.0025  4 Ru 2.68, 4 Os 2.69, 2 W 2.77-2.83
Ru 0.5000 0.5000 0.2455  4 Ru 2.68, 4 W 2.70, 2 Os 2.75-2.86
W 0.0000 0.0000 0.4973  6 Ru 2.70-2.83, 4 Os 2.72


Entry 16:
Compound: Hg2IrOs
Source: Alexandria via LeMat-Bulk
Functional: PBE
Structure: relaxed

## Properties
ΔE_f: 68.6 kJ per mole of atoms
ΔE to the lowest computed polymorph: 290 meV/atom

Cell: 6.2915 6.2915 6.2915 Å, 154.19 135.09 52.52°
With the nearest neighbours (Å) after each atom.
Fractional positions:
Os 0.7206 0.2206 0.5000  2 Ir 2.52, 2 Os 2.81
Hg 0.2768 0.7768 0.5000  2 Hg 2.81, 4 Os 2.86
Hg 0.9673 0.9673 0.0000  2 Hg 2.81, 4 Ir 2.89, 2 Os 3.12
Ir 0.5354 0.5354 0.0000  2 Os 2.52, 2 Ir 2.81


Entry 17:
Compound: LaTb2ErBi4
Source: Alexandria via LeMat-Bulk
Functional: PBE
Structure: relaxed

## Properties
ΔE_f: -86.2 kJ per mole of atoms

Cell: 6.4222 6.4222 7.8559 Å, 114.13 114.13 90.00°
With the nearest neighbours (Å) after each atom.
Fractional positions:
La 0.9370 0.9370 0.0000  6 Bi 3.21-3.28
Bi 0.1928 0.1928 0.5111  1 Er 3.13, 4 Tb 3.21, 1 La 3.28
Er 0.4372 0.4372 0.0000  6 Bi 3.13-3.21
Bi 0.6817 0.6817 0.4889  1 Er 3.13, 4 Tb 3.21, 1 La 3.28
Tb 0.6872 0.1872 0.5000  6 Bi 3.21
Bi 0.9372 0.4371 0.0000  2 Tb 3.21, 2 La 3.21, 2 Er 3.21
Tb 0.1872 0.6872 0.5000  6 Bi 3.21
Bi 0.4371 0.9372 0.0000  2 Tb 3.21, 2 La 3.21, 2 Er 3.21


Entry 18:
Compound: V2Si2Ni
Source: Alexandria via LeMat-Bulk
Functional: PBE
Structure: relaxed

## Properties
DFT total energy: -73.218 eV per cell

Cell: 3.9760 4.9559 6.8121 Å, 90.00 106.97 90.00°
With the nearest neighbours (Å) after each atom.
Fractional positions:
Si 0.1779 0.4081 0.3557  2 Ni 2.31, 5 V 2.47-2.57
Si 0.4192 0.5259 0.8384  3 Ni 2.41-2.58, 6 V 2.53-2.61
V 0.9963 0.2524 0.9926  3 V 2.48-2.64, 5 Si 2.49-2.61, 2 Ni 2.59
Si 0.8221 0.9081 0.6443  2 Ni 2.31, 5 V 2.47-2.57
Si 0.5808 0.0259 0.1616  3 Ni 2.41-2.58, 6 V 2.53-2.61
V 0.1976 0.9047 0.3952  6 Si 2.47-2.57, 1 V 2.64, 1 Ni 2.68
Ni 0.3961 0.0433 0.7922  5 Si 2.31-2.58
V 0.8024 0.4047 0.6048  6 Si 2.47-2.57, 1 V 2.64, 1 Ni 2.68
Ni 0.6039 0.5433 0.2078  5 Si 2.31-2.58
V 0.0037 0.7524 0.0074  3 V 2.48-2.64, 5 Si 2.49-2.61, 2 Ni 2.59


Entry 19:
Compound: B5C7
Source: Alexandria via LeMat-Bulk
Functional: PBE
Structure: relaxed

## Properties
ΔE_f: 33.7 kJ per mole of atoms
ΔE to the lowest computed polymorph: 92 meV/atom

Cell: 2.5752 2.4354 12.4603 Å, 90.00 90.00 90.00°
With the nearest neighbours (Å) after each atom.
Fractional positions:
B 0.5000 0.5000 0.4794  2 C 1.63
C 0.5000 0.0000 0.2563  2 C 1.55, 2 B 1.68
C 0.0000 0.5000 0.3993  2 C 1.52, 2 B 1.63
B 0.0000 0.5000 0.7591  4 C 1.62-1.67
C 0.0000 0.5000 0.0811  2 C 1.48, 2 B 1.64
C 0.0000 0.0000 0.3258  4 C 1.52-1.55
C 0.5000 0.5000 0.8380  4 B 1.62-1.65
B 0.5000 0.0000 0.9276  4 C 1.65-1.67
B 0.5000 0.5000 0.1629  4 C 1.64-1.68
B 0.5000 0.0000 0.5902  2 C 1.61
C 0.0000 0.0000 0.0131  2 C 1.48
C 0.0000 0.0000 0.6673  4 B 1.61-1.67


Entry 20:
Compound: NaHg2Mo
Source: Alexandria via LeMat-Bulk
Functional: PBE
Structure: relaxed

## Properties
ΔE_f: 51.5 kJ per mole of atoms
ΔE to the lowest computed polymorph: 0 meV/atom

Cell: 4.8900 4.8900 4.8900 Å, 60.00 60.00 60.00°
With the nearest neighbours (Å) after each atom.
Fractional positions:
Hg 0.7500 0.7500 0.7500  4 Na 2.99, 4 Mo 2.99
Hg 0.2500 0.2500 0.2500  4 Na 2.99, 4 Mo 2.99
Mo 0.5000 0.5000 0.5000  8 Hg 2.99
Na 0.0000 0.0000 0.0000  8 Hg 2.99